--- i ---
## TaRuSN2 (PBE-GGA)

Data for a geometry-optimized TaRuSN2 structure.

Unit cell a=3.9585 b=3.9585 c=5.0697 alpha=90.00 beta=90.00 gamma=90.00
Atoms (fractional coordinates):
1 Ta 0.0000 0.0000 0.0000
2 Ru 0.5000 0.5000 0.5000
3 S 0.0000 0.0000 0.5000
4 N 0.0000 0.5000 0.0000
5 N 0.5000 0.0000 0.0000

SG   P4/mmm, No. 123
Crystal system   tetragonal
V   15.89 Å³/atom
Total moment   3.51 μB/cell
Density of states at the Fermi level   5.99 states/eV per cell

=====

--- ii ---
## TaRuSN2 (PBE-GGA)

Data for a geometry-optimized TaRuSN2 structure.

Unit cell a=3.7962 b=3.7962 c=4.8211 alpha=90.00 beta=90.00 gamma=90.00
Atoms (fractional coordinates):
1 Ta 0.0000 0.0000 0.0000
2 Ru 0.5000 0.5000 0.5000
3 S 0.5000 0.5000 0.0000
4 N 0.0000 0.5000 0.5000
5 N 0.5000 0.0000 0.5000

SG   P4/mmm, No. 123
Crystal system   tetragonal
V   13.90 Å³/atom
Total moment   1.36 μB/cell
Density of states at the Fermi level   4.17 states/eV per cell

=====

Which structure is most stable, and how do the rest compare? From most to least stable: i, ii.

=====

--- i ---
## TaRuS2N (PBE-GGA)

Data for a geometry-optimized TaRuS2N structure.

Unit cell a=4.8751 b=4.8751 c=3.9001 alpha=90.00 beta=90.00 gamma=90.00
Atoms (fractional coordinates):
1 Ta 0.0000 0.0000 0.0000
2 Ru 0.5000 0.5000 0.5000
3 S 0.0000 0.5000 0.0000
4 S 0.5000 0.0000 0.0000
5 N 0.0000 0.0000 0.5000

SG   P4/mmm, No. 123
Crystal system   tetragonal
V   18.54 Å³/atom
Total moment   4.00 μB/cell
Density of states at the Fermi level   4.30 states/eV per cell

=====

--- ii ---
## TaRuS2N (PBE-GGA)

Data for a geometry-optimized TaRuS2N structure.

Unit cell a=4.7534 b=4.7534 c=3.6100 alpha=90.00 beta=90.00 gamma=90.00
Atoms (fractional coordinates):
1 Ta 0.0000 0.0000 0.0000
2 Ru 0.5000 0.5000 0.5000
3 S 0.0000 0.5000 0.5000
4 S 0.5000 0.0000 0.5000
5 N 0.5000 0.5000 0.0000

SG   P4/mmm, No. 123
Crystal system   tetragonal
V   16.31 Å³/atom
Total moment   1.74 μB/cell
Density of states at the Fermi level   4.41 states/eV per cell

=====

Which structure is most stable, and how do the rest compare? From most to least stable: i, ii.

=====

--- i ---
## TcRuSN2 (PBE-GGA)

Data for a geometry-optimized TcRuSN2 structure.

Unit cell a=3.7671 b=3.7671 c=5.1467 alpha=90.00 beta=90.00 gamma=90.00
Atoms (fractional coordinates):
1 Tc 0.0000 0.0000 0.0000
2 Ru 0.5000 0.5000 0.5000
3 S 0.5000 0.5000 0.0000
4 N 0.0000 0.5000 0.5000
5 N 0.5000 0.0000 0.5000

SG   P4/mmm, No. 123
Crystal system   tetragonal
V   14.61 Å³/atom
Total moment   3.79 μB/cell
Density of states at the Fermi level   4.01 states/eV per cell

=====

--- ii ---
## TcRuSN2 (PBE-GGA)

Data for a geometry-optimized TcRuSN2 structure.

Unit cell a=3.7696 b=3.7696 c=5.1633 alpha=90.00 beta=90.00 gamma=90.00
Atoms (fractional coordinates):
1 Tc 0.0000 0.0000 0.0000
2 Ru 0.5000 0.5000 0.5000
3 S 0.0000 0.0000 0.5000
4 N 0.0000 0.5000 0.0000
5 N 0.5000 0.0000 0.0000

SG   P4/mmm, No. 123
Crystal system   tetragonal
V   14.67 Å³/atom
Total moment   2.57 μB/cell
Density of states at the Fermi level   6.74 states/eV per cell

=====

Which structure is most stable, and how do the rest compare? From most to least stable: ii, i.

=====

--- i ---
## TiRuSN2 (PBE-GGA)

Data for a geometry-optimized TiRuSN2 structure.

Unit cell a=3.8154 b=3.8154 c=4.9718 alpha=90.00 beta=90.00 gamma=90.00
Atoms (fractional coordinates):
1 Ti 0.0000 0.0000 0.0000
2 Ru 0.5000 0.5000 0.5000
3 S 0.0000 0.0000 0.5000
4 N 0.0000 0.5000 0.0000
5 N 0.5000 0.0000 0.0000

SG   P4/mmm, No. 123
Crystal system   tetragonal
V   14.48 Å³/atom
Total moment   2.24 μB/cell
Density of states at the Fermi level   4.70 states/eV per cell

=====

--- ii ---
## TiRuSN2 (PBE-GGA)

Data for a geometry-optimized TiRuSN2 structure.

Unit cell a=3.7786 b=3.7786 c=4.9799 alpha=90.00 beta=90.00 gamma=90.00
Atoms (fractional coordinates):
1 Ti 0.0000 0.0000 0.0000
2 Ru 0.5000 0.5000 0.5000
3 S 0.5000 0.5000 0.0000
4 N 0.0000 0.5000 0.5000
5 N 0.5000 0.0000 0.5000

SG   P4/mmm, No. 123
Crystal system   tetragonal
V   14.22 Å³/atom
Total moment   1.23 μB/cell
Density of states at the Fermi level   5.94 states/eV per cell

=====

Which structure is most stable, and how do the rest compare? From most to least stable: ii, i.

=====

--- i ---
## TlRuS2N (PBE-GGA)

Data for a geometry-optimized TlRuS2N structure.

Unit cell a=4.9576 b=4.9576 c=3.7003 alpha=90.00 beta=90.00 gamma=90.00
Atoms (fractional coordinates):
1 Tl 0.0000 0.0000 0.0000
2 Ru 0.5000 0.5000 0.5000
3 S 0.0000 0.5000 0.5000
4 S 0.5000 0.0000 0.5000
5 N 0.5000 0.5000 0.0000

SG   P4/mmm, No. 123
Crystal system   tetragonal
V   18.19 Å³/atom
Total moment   0.00 μB/cell
Density of states at the Fermi level   6.18 states/eV per cell

=====

--- ii ---
## TlRuS2N (PBE-GGA)

Data for a geometry-optimized TlRuS2N structure.

Unit cell a=5.1486 b=5.1486 c=4.0944 alpha=90.00 beta=90.00 gamma=90.00
Atoms (fractional coordinates):
1 Tl 0.0000 0.0000 0.0000
2 Ru 0.5000 0.5000 0.5000
3 S 0.0000 0.5000 0.0000
4 S 0.5000 0.0000 0.0000
5 N 0.0000 0.0000 0.5000

SG   P4/mmm, No. 123
Crystal system   tetragonal
V   21.71 Å³/atom
Total moment   3.80 μB/cell
Density of states at the Fermi level   9.64 states/eV per cell

=====

Which structure is most stable, and how do the rest compare? From most to least stable: i, ii.

=====

--- i ---
## VRuS2N (PBE-GGA)

Data for a geometry-optimized VRuS2N structure.

Unit cell a=4.7654 b=4.7654 c=3.6216 alpha=90.00 beta=90.00 gamma=90.00
Atoms (fractional coordinates):
1 V 0.0000 0.0000 0.0000
2 Ru 0.5000 0.5000 0.5000
3 S 0.0000 0.5000 0.5000
4 S 0.5000 0.0000 0.5000
5 N 0.5000 0.5000 0.0000

SG   P4/mmm, No. 123
Crystal system   tetragonal
V   16.45 Å³/atom
Total moment   0.10 μB/cell
Density of states at the Fermi level   5.46 states/eV per cell

=====

--- ii ---
## VRuS2N (PBE-GGA)

Data for a geometry-optimized VRuS2N structure.

Unit cell a=4.6544 b=4.6544 c=3.5657 alpha=90.00 beta=90.00 gamma=90.00
Atoms (fractional coordinates):
1 V 0.0000 0.0000 0.0000
2 Ru 0.5000 0.5000 0.5000
3 S 0.0000 0.5000 0.0000
4 S 0.5000 0.0000 0.0000
5 N 0.0000 0.0000 0.5000

SG   P4/mmm, No. 123
Crystal system   tetragonal
V   15.45 Å³/atom
Total moment   2.20 μB/cell
Density of states at the Fermi level   7.46 states/eV per cell

=====

Which structure is most stable, and how do the rest compare? From most to least stable: ii, i.

=====

--- i ---
## RuWSN2 (PBE-GGA)

Data for a geometry-optimized RuWSN2 structure.

Unit cell a=3.7858 b=3.7858 c=4.9550 alpha=90.00 beta=90.00 gamma=90.00
Atoms (fractional coordinates):
1 Ru 0.0000 0.0000 0.0000
2 W 0.5000 0.5000 0.5000
3 S 0.0000 0.0000 0.5000
4 N 0.0000 0.5000 0.0000
5 N 0.5000 0.0000 0.0000

SG   P4/mmm, No. 123
Crystal system   tetragonal
V   14.20 Å³/atom
Total moment   2.87 μB/cell
Density of states at the Fermi level   2.54 states/eV per cell

=====

--- ii ---
## RuWSN2 (PBE-GGA)

Data for a geometry-optimized RuWSN2 structure.

Unit cell a=3.8745 b=3.8745 c=4.9812 alpha=90.00 beta=90.00 gamma=90.00
Atoms (fractional coordinates):
1 Ru 0.0000 0.0000 0.0000
2 W 0.5000 0.5000 0.5000
3 S 0.5000 0.5000 0.0000
4 N 0.0000 0.5000 0.5000
5 N 0.5000 0.0000 0.5000

SG   P4/mmm, No. 123
Crystal system   tetragonal
V   14.96 Å³/atom
Total moment   3.11 μB/cell
Density of states at the Fermi level   4.19 states/eV per cell

=====

Which structure is most stable, and how do the rest compare? From most to least stable: ii, i.

=====

--- i ---
## RuWS2N (PBE-GGA)

Data for a geometry-optimized RuWS2N structure.

Unit cell a=4.7660 b=4.7660 c=3.5980 alpha=90.00 beta=90.00 gamma=90.00
Atoms (fractional coordinates):
1 Ru 0.0000 0.0000 0.0000
2 W 0.5000 0.5000 0.5000
3 S 0.0000 0.5000 0.0000
4 S 0.5000 0.0000 0.0000
5 N 0.0000 0.0000 0.5000

SG   P4/mmm, No. 123
Crystal system   tetragonal
V   16.35 Å³/atom
Total moment   2.72 μB/cell
Density of states at the Fermi level   2.82 states/eV per cell

=====

--- ii ---
## RuWS2N (PBE-GGA)

Data for a geometry-optimized RuWS2N structure.

Unit cell a=4.7922 b=4.7922 c=3.8000 alpha=90.00 beta=90.00 gamma=90.00
Atoms (fractional coordinates):
1 Ru 0.0000 0.0000 0.0000
2 W 0.5000 0.5000 0.5000
3 S 0.0000 0.5000 0.5000
4 S 0.5000 0.0000 0.5000
5 N 0.5000 0.5000 0.0000

SG   P4/mmm, No. 123
Crystal system   tetragonal
V   17.45 Å³/atom
Total moment   3.45 μB/cell
Density of states at the Fermi level   6.04 states/eV per cell

=====

Which structure is most stable, and how do the rest compare? From most to least stable: ii, i.

=====

--- i ---
## ZrRuSN2 (PBE-GGA)

Data for a geometry-optimized ZrRuSN2 structure.

Unit cell a=4.0828 b=4.0828 c=5.2636 alpha=90.00 beta=90.00 gamma=90.00
Atoms (fractional coordinates):
1 Zr 0.0000 0.0000 0.0000
2 Ru 0.5000 0.5000 0.5000
3 S 0.0000 0.0000 0.5000
4 N 0.0000 0.5000 0.0000
5 N 0.5000 0.0000 0.0000

SG   P4/mmm, No. 123
Crystal system   tetragonal
V   17.55 Å³/atom
Total moment   3.50 μB/cell
Density of states at the Fermi level   6.68 states/eV per cell

=====

--- ii ---
## ZrRuSN2 (PBE-GGA)

Data for a geometry-optimized ZrRuSN2 structure.

Unit cell a=3.8395 b=3.8395 c=4.7536 alpha=90.00 beta=90.00 gamma=90.00
Atoms (fractional coordinates):
1 Zr 0.0000 0.0000 0.0000
2 Ru 0.5000 0.5000 0.5000
3 S 0.5000 0.5000 0.0000
4 N 0.0000 0.5000 0.5000
5 N 0.5000 0.0000 0.5000

SG   P4/mmm, No. 123
Crystal system   tetragonal
V   14.02 Å³/atom
Total moment   0.00 μB/cell
Density of states at the Fermi level   2.42 states/eV per cell

=====

Which structure is most stable, and how do the rest compare? From most to least stable: ii, i.

=====

--- i ---
## Sb3RuN (PBE-GGA)

Data for a geometry-optimized Sb3RuN structure.

Unit cell a=4.5771 b=4.5771 c=4.5771 alpha=90.00 beta=90.00 gamma=90.00
Atoms (fractional coordinates):
1 Sb 0.0000 0.0000 0.5000
2 Sb 0.0000 0.5000 0.0000
3 Sb 0.5000 0.0000 0.0000
4 Ru 0.5000 0.5000 0.5000
5 N 0.0000 0.0000 0.0000

SG   Pm-3m, No. 221
Crystal system   cubic
V   19.18 Å³/atom
Total moment   0.00 μB/cell
Density of states at the Fermi level   3.64 states/eV per cell

=====

--- ii ---
## Sb3RuN (PBE-GGA)

Data for a geometry-optimized Sb3RuN structure.

Unit cell a=5.0428 b=5.0428 c=5.0428 alpha=90.00 beta=90.00 gamma=90.00
Atoms (fractional coordinates):
1 Sb 0.0000 0.0000 0.5000
2 Sb 0.0000 0.5000 0.0000
3 Sb 0.5000 0.0000 0.0000
4 Ru 0.0000 0.0000 0.0000
5 N 0.5000 0.5000 0.5000

SG   Pm-3m, No. 221
Crystal system   cubic
V   25.65 Å³/atom
Total moment   0.00 μB/cell
Density of states at the Fermi level   4.69 states/eV per cell

=====

Which structure is most stable, and how do the rest compare? From most to least stable: i, ii.

=====

--- i ---
## SbRu3N (PBE-GGA)

Data for a geometry-optimized SbRu3N structure.

Unit cell a=4.1169 b=4.1169 c=4.1169 alpha=90.00 beta=90.00 gamma=90.00
Atoms (fractional coordinates):
1 Sb 0.0000 0.0000 0.0000
2 Ru 0.0000 0.5000 0.5000
3 Ru 0.5000 0.0000 0.5000
4 Ru 0.5000 0.5000 0.0000
5 N 0.5000 0.5000 0.5000

SG   Pm-3m, No. 221
Crystal system   cubic
V   13.96 Å³/atom
Total moment   0.00 μB/cell
Density of states at the Fermi level   3.85 states/eV per cell

=====

--- ii ---
## SbRu3N (PBE-GGA)

Data for a geometry-optimized SbRu3N structure.

Unit cell a=4.9183 b=4.9183 c=4.9183 alpha=90.00 beta=90.00 gamma=90.00
Atoms (fractional coordinates):
1 Sb 0.0000 0.0000 0.0000
2 Ru 0.0000 0.0000 0.5000
3 Ru 0.0000 0.5000 0.0000
4 Ru 0.5000 0.0000 0.0000
5 N 0.5000 0.5000 0.5000

SG   Pm-3m, No. 221
Crystal system   cubic
V   23.79 Å³/atom
Total moment   6.93 μB/cell
Density of states at the Fermi level   5.83 states/eV per cell

=====

Which structure is most stable, and how do the rest compare? From most to least stable: i, ii.

=====

--- i ---
## SbRuSeN2 (PBE-GGA)

Data for a geometry-optimized SbRuSeN2 structure.

Unit cell a=3.9289 b=3.9289 c=5.2454 alpha=90.00 beta=90.00 gamma=90.00
Atoms (fractional coordinates):
1 Sb 0.0000 0.0000 0.0000
2 Ru 0.5000 0.5000 0.5000
3 Se 0.5000 0.5000 0.0000
4 N 0.0000 0.5000 0.5000
5 N 0.5000 0.0000 0.5000

SG   P4/mmm, No. 123
Crystal system   tetragonal
V   16.19 Å³/atom
Total moment   0.00 μB/cell
Density of states at the Fermi level   3.80 states/eV per cell

=====

--- ii ---
## SbRuSeN2 (PBE-GGA)

Data for a geometry-optimized SbRuSeN2 structure.

Unit cell a=3.9554 b=3.9554 c=5.7560 alpha=90.00 beta=90.00 gamma=90.00
Atoms (fractional coordinates):
1 Sb 0.0000 0.0000 0.0000
2 Ru 0.5000 0.5000 0.5000
3 Se 0.0000 0.0000 0.5000
4 N 0.0000 0.5000 0.0000
5 N 0.5000 0.0000 0.0000

SG   P4/mmm, No. 123
Crystal system   tetragonal
V   18.01 Å³/atom
Total moment   4.27 μB/cell
Density of states at the Fermi level   5.19 states/eV per cell

=====

Which structure is most stable, and how do the rest compare? From most to least stable: i, ii.

=====

--- i ---
## Sb2TeRuN (PBE-GGA)

Data for a geometry-optimized Sb2TeRuN structure.

Unit cell a=4.6145 b=4.6145 c=4.5600 alpha=90.00 beta=90.00 gamma=90.00
Atoms (fractional coordinates):
1 Sb 0.0000 0.5000 0.0000
2 Sb 0.5000 0.0000 0.0000
3 Te 0.0000 0.0000 0.5000
4 Ru 0.5000 0.5000 0.5000
5 N 0.0000 0.0000 0.0000

SG   P4/mmm, No. 123
Crystal system   tetragonal
V   19.42 Å³/atom
Total moment   0.00 μB/cell
Density of states at the Fermi level   4.30 states/eV per cell

=====

--- ii ---
## Sb2TeRuN (PBE-GGA)

Data for a geometry-optimized Sb2TeRuN structure.

Unit cell a=5.0611 b=5.0611 c=5.0995 alpha=90.00 beta=90.00 gamma=90.00
Atoms (fractional coordinates):
1 Sb 0.0000 0.5000 0.0000
2 Sb 0.5000 0.0000 0.0000
3 Te 0.0000 0.0000 0.5000
4 Ru 0.0000 0.0000 0.0000
5 N 0.5000 0.5000 0.5000

SG   P4/mmm, No. 123
Crystal system   tetragonal
V   26.12 Å³/atom
Total moment   0.00 μB/cell
Density of states at the Fermi level   5.79 states/eV per cell

=====

Which structure is most stable, and how do the rest compare? From most to least stable: i, ii.

=====

--- i ---
## SbTe2RuN (PBE-GGA)

Data for a geometry-optimized SbTe2RuN structure.

Unit cell a=4.6202 b=4.6202 c=4.6274 alpha=90.00 beta=90.00 gamma=90.00
Atoms (fractional coordinates):
1 Sb 0.0000 0.0000 0.0000
2 Te 0.0000 0.5000 0.5000
3 Te 0.5000 0.0000 0.5000
4 Ru 0.5000 0.5000 0.0000
5 N 0.0000 0.0000 0.5000

SG   P4/mmm, No. 123
Crystal system   tetragonal
V   19.76 Å³/atom
Total moment   0.00 μB/cell
Density of states at the Fermi level   2.12 states/eV per cell

=====

--- ii ---
## SbTe2RuN (PBE-GGA)

Data for a geometry-optimized SbTe2RuN structure.

Unit cell a=5.4952 b=5.4952 c=3.7115 alpha=90.00 beta=90.00 gamma=90.00
Atoms (fractional coordinates):
1 Sb 0.0000 0.0000 0.0000
2 Te 0.0000 0.5000 0.5000
3 Te 0.5000 0.0000 0.5000
4 Ru 0.5000 0.5000 0.5000
5 N 0.5000 0.5000 0.0000

SG   P4/mmm, No. 123
Crystal system   tetragonal
V   22.42 Å³/atom
Total moment   0.00 μB/cell
Density of states at the Fermi level   2.59 states/eV per cell

=====

Which structure is most stable, and how do the rest compare? From most to least stable: ii, i.